VASP calculation (PBE) on a geometry-optimized Ce3SnPb3 structure. Values from VASP.

Geometry as Quantum ESPRESSO input:
```
&SYSTEM
  ibrav = 0, nat = 14, ntyp = 3
/
ATOMIC_SPECIES
Ce 140.12 Ce.upf
Sn 118.71 Sn.upf
Pb 207.20 Pb.upf
CELL_PARAMETERS angstrom
-3.351 -3.537 2.996
6.701 -1.219 6.057
-6.041 6.722 1.179
ATOMIC_POSITIONS crystal
Ce 0.750 0.639 0.542
Ce 0.750 0.458 0.097
Ce 0.750 0.903 0.361
Ce 0.250 0.361 0.458
Ce 0.250 0.542 0.903
Ce 0.250 0.097 0.639
Sn 0.250 0.667 0.333
Sn 0.750 0.333 0.667
Pb 0.250 0.809 0.756
Pb 0.250 0.244 0.053
Pb 0.250 0.947 0.191
Pb 0.750 0.191 0.244
Pb 0.750 0.756 0.947
Pb 0.750 0.053 0.809
```

Energy of formation   -284.4 meV per atom
DOS(E_F)   42.923 states/eV per cell
SG   P6_3/m